Entry from Alexandria via LeMat-Bulk: SiAgW after structural relaxation (PBE).

## Properties
- Fermi-level density of states: 12.195 states/eV per cell
- Density: 10.3 g/cm3
- Space-group type: F-43m (216)
- E above lowest polymorph: 478 meV/atom
- ΔE_f (raw): 0.61 eV per atom

Cell: 5.905 5.905 5.905 Å, 90.00 90.00 90.00°
Fractional positions:
Si1 0.000 0.000 0.000
Si2 0.000 0.500 0.500
Si3 0.500 0.000 0.500
Si4 0.500 0.500 0.000
Ag1 0.250 0.250 0.750
Ag2 0.250 0.750 0.250
Ag3 0.750 0.250 0.250
Ag4 0.750 0.750 0.750
W1 0.250 0.250 0.250
W2 0.250 0.750 0.750
W3 0.750 0.250 0.750
W4 0.750 0.750 0.250